Record 1
Density functional theory data (PBE) for a relaxed structure of NaPtSe2.

Lattice parameters (Å, degrees): 5.343 11.275 7.376 90.00 90.00 90.00
Space group Cmcm (No. 63)
Symmetry-distinct sites (fractional):
Na1 0.000 0.133 0.250 (multiplicity 4)
Pt1 0.000 0.498 0.750 (multiplicity 4)
Se1 0.000 0.357 0.004 (multiplicity 8)

E_form (uncorrected): -0.530 eV per atom
DOS(E_F): 2.7 states/eV/f.u.

---

Record 2
Density functional theory data (PBE) for a relaxed structure of NaPtSe2.

Lattice parameters (Å, degrees): 6.716 6.716 6.716 90.00 90.00 90.00
Space group Fm-3m (No. 225)
Symmetry-distinct sites (fractional):
Na1 0.000 0.000 0.000 (multiplicity 4)
Pt1 0.000 0.000 0.500 (multiplicity 4)
Se1 0.250 0.250 0.250 (multiplicity 8)

E_form (uncorrected): -0.044 eV per atom
DOS(E_F): 3.3 states/eV/f.u.

---

Record 3
Density functional theory data (PBE) for a relaxed structure of NaPtSe2.

Lattice parameters (Å, degrees): 6.293 6.293 11.598 90.00 90.00 90.00
Space group I-42d (No. 122)
Symmetry-distinct sites (fractional):
Na1 0.000 0.000 0.000 (multiplicity 4)
Pt1 0.000 0.000 0.500 (multiplicity 4)
Se1 0.183 0.250 0.625 (multiplicity 8)

E_form (uncorrected): -0.353 eV per atom
DOS(E_F): 2.2 states/eV/f.u.

---

Record 4
Density functional theory data (PBE) for a relaxed structure of NaSn2PtSe.

Lattice parameters (Å, degrees): 5.430 5.430 4.696 90.00 90.00 90.00
Space group P4/mmm (No. 123)
Symmetry-distinct sites (fractional):
Na1 0.000 0.000 0.000 (multiplicity 1)
Sn1 0.000 0.500 0.000 (multiplicity 2)
Pt1 0.000 0.000 0.500 (multiplicity 1)
Se1 0.500 0.500 0.500 (multiplicity 1)

E_form (uncorrected): 0.834 eV per atom
DOS(E_F): 4.7 states/eV/f.u.

---

Record 5
Density functional theory data (PBE) for a relaxed structure of NaSnPtSe2.

Lattice parameters (Å, degrees): 5.398 5.398 5.036 90.00 90.00 90.00
Space group P4/mmm (No. 123)
Symmetry-distinct sites (fractional):
Na1 0.000 0.000 0.000 (multiplicity 1)
Sn1 0.500 0.500 0.500 (multiplicity 1)
Pt1 0.500 0.500 0.000 (multiplicity 1)
Se1 0.000 0.500 0.500 (multiplicity 2)

E_form (uncorrected): 0.099 eV per atom
DOS(E_F): 5.6 states/eV/f.u.

---

Record 6
Density functional theory data (PBE) for a relaxed structure of NaTlPt2Se.

Lattice parameters (Å, degrees): 5.142 5.142 5.435 90.00 90.00 90.00
Space group P4/mmm (No. 123)
Symmetry-distinct sites (fractional):
Na1 0.000 0.000 0.000 (multiplicity 1)
Tl1 0.500 0.500 0.500 (multiplicity 1)
Pt1 0.000 0.500 0.500 (multiplicity 2)
Se1 0.500 0.500 0.000 (multiplicity 1)

E_form (uncorrected): 0.635 eV per atom
DOS(E_F): 1.7 states/eV/f.u.

---

Record 7
Density functional theory data (PBE) for a relaxed structure of Na3U3PtSe8.

Lattice parameters (Å, degrees): 13.720 7.960 8.583 90.00 122.16 90.00
Space group C2/m (No. 12)
Symmetry-distinct sites (fractional):
Na1 0.000 0.000 0.000 (multiplicity 2)
Na2 0.250 0.250 0.000 (multiplicity 4)
U1 0.000 0.500 0.500 (multiplicity 2)
U2 0.250 0.250 0.500 (multiplicity 4)
Pt1 0.000 0.000 0.500 (multiplicity 2)
Se1 0.007 0.244 0.276 (multiplicity 8)
Se2 0.228 0.000 0.718 (multiplicity 4)
Se3 0.246 0.500 0.738 (multiplicity 4)

E_form (uncorrected): -1.002 eV per atom
DOS(E_F): 15.3 states/eV/f.u.

---

Record 8
Density functional theory data (PBE) for a relaxed structure of NaUPtSe3.

Lattice parameters (Å, degrees): 8.023 3.964 9.964 90.00 110.84 90.00
Space group P2_1/m (No. 11)
Symmetry-distinct sites (fractional):
Na1 0.244 0.250 0.279 (multiplicity 2)
U1 0.318 0.750 0.815 (multiplicity 2)
Pt1 0.127 0.250 0.553 (multiplicity 2)
Se1 0.069 0.250 0.800 (multiplicity 2)
Se2 0.315 0.750 0.538 (multiplicity 2)
Se3 0.405 0.750 0.121 (multiplicity 2)

E_form (uncorrected): -0.934 eV per atom
DOS(E_F): 5.5 states/eV/f.u.

---

Record 9
Density functional theory data (PBE) for a relaxed structure of Na4Zr3PtSe8.

Lattice parameters (Å, degrees): 13.882 7.585 8.390 90.00 121.81 90.00
Space group C2/m (No. 12)
Symmetry-distinct sites (fractional):
Na1 0.000 0.000 0.000 (multiplicity 2)
Na2 0.000 0.500 0.000 (multiplicity 2)
Na3 0.250 0.250 0.000 (multiplicity 4)
Zr1 0.000 0.000 0.500 (multiplicity 2)
Zr2 0.250 0.250 0.500 (multiplicity 4)
Pt1 0.000 0.500 0.500 (multiplicity 2)
Se1 0.013 0.269 0.294 (multiplicity 8)
Se2 0.232 0.000 0.256 (multiplicity 4)
Se3 0.236 0.000 0.724 (multiplicity 4)

E_form (uncorrected): -1.102 eV per atom
DOS(E_F): 6.3 states/eV/f.u.

---

Record 10
Density functional theory data (PBE) for a relaxed structure of NaSi2Pt.

Lattice parameters (Å, degrees): 6.409 4.195 9.752 90.00 90.00 90.00
Space group Pnma (No. 62)
Symmetry-distinct sites (fractional):
Na1 0.243 0.250 0.183 (multiplicity 4)
Si1 0.047 0.750 0.346 (multiplicity 4)
Si2 0.230 0.250 0.477 (multiplicity 4)
Pt1 0.077 0.250 0.897 (multiplicity 4)

E_form (uncorrected): -0.322 eV per atom
DOS(E_F): 1.9 states/eV/f.u.

---

Record 11
Density functional theory data (PBE) for a relaxed structure of NaSi2Pt.

Lattice parameters (Å, degrees): 4.0844 4.0844 21.3321 90.00 90.00 120.00
Space group R-3m (No. 166, hexagonal axes)
Symmetry-distinct sites (fractional):
Na1 0.0000 0.0000 0.0000 (multiplicity 3)
Si1 0.0000 0.0000 0.1340 (multiplicity 6)
Pt1 0.0000 0.0000 0.5000 (multiplicity 3)

E_form (uncorrected): -0.125 eV per atom
DOS(E_F): 3.2 states/eV/f.u.

---

Record 12
Density functional theory data (PBE) for a relaxed structure of NaSiPt.

Lattice parameters (Å, degrees): 4.580 4.814 5.658 90.47 104.17 90.46
Space group P-1 (No. 2)
Symmetry-distinct sites (fractional):
Na1 0.000 0.000 0.000 (multiplicity 1)
Na2 0.500 0.500 0.000 (multiplicity 1)
Si1 0.236 0.662 0.474 (multiplicity 2)
Pt1 0.271 0.170 0.561 (multiplicity 2)

E_form (uncorrected): -0.471 eV per atom
DOS(E_F): 0.8 states/eV/f.u.

---

Record 13
Density functional theory data (PBE) for a relaxed structure of NaSiPt.

Lattice parameters (Å, degrees): 4.467 5.544 10.976 90.00 90.00 90.00
Space group Imma (No. 74)
Symmetry-distinct sites (fractional):
Na1 0.000 0.250 0.097 (multiplicity 4)
Si1 0.000 0.250 0.825 (multiplicity 4)
Pt1 0.000 0.250 0.612 (multiplicity 4)

E_form (uncorrected): -0.214 eV per atom
DOS(E_F): 1.6 states/eV/f.u.

---

Record 14
Density functional theory data (PBE) for a relaxed structure of Na3Si2Pt3.

Lattice parameters (Å, degrees): 7.751 14.142 5.807 90.00 90.00 90.00
Space group Pnma (No. 62)
Symmetry-distinct sites (fractional):
Na1 0.017 0.112 0.120 (multiplicity 8)
Na2 0.187 0.250 0.553 (multiplicity 4)
Si1 0.139 0.598 0.382 (multiplicity 8)
Pt1 0.151 0.042 0.619 (multiplicity 8)
Pt2 0.176 0.750 0.538 (multiplicity 4)

E_form (uncorrected): -0.529 eV per atom
DOS(E_F): 3.2 states/eV/f.u.

---

Record 15
Density functional theory data (PBE) for a relaxed structure of NaSiPt3.

Lattice parameters (Å, degrees): 5.624 5.632 7.586 111.65 90.07 119.91
Space group P1 (No. 1)
Symmetry-distinct sites (fractional):
Na1 0.000 0.000 0.000 (multiplicity 1)
Na2 0.248 0.502 0.746 (multiplicity 1)
Si1 0.635 0.267 0.907 (multiplicity 1)
Si2 0.795 0.591 0.387 (multiplicity 1)
Pt1 0.068 0.609 0.153 (multiplicity 1)
Pt2 0.222 0.928 0.620 (multiplicity 1)
Pt3 0.542 0.608 0.152 (multiplicity 1)
Pt4 0.543 0.084 0.154 (multiplicity 1)
Pt5 0.699 0.404 0.623 (multiplicity 1)
Pt6 0.699 0.925 0.617 (multiplicity 1)

E_form (uncorrected): -0.434 eV per atom
DOS(E_F): 2.1 states/eV/f.u.

---

Record 16
Density functional theory data (PBE) for a relaxed structure of NaSiPt3.

Lattice parameters (Å, degrees): 4.608 4.608 4.608 90.00 90.00 90.00
Space group Pm-3m (No. 221)
Symmetry-distinct sites (fractional):
Na1 0.000 0.000 0.000 (multiplicity 1)
Si1 0.500 0.500 0.500 (multiplicity 1)
Pt1 0.000 0.000 0.500 (multiplicity 3)

E_form (uncorrected): 1.500 eV per atom
DOS(E_F): 7.4 states/eV/f.u.

---

Record 17
Density functional theory data (PBE) for a relaxed structure of Na2SiPt2.

Lattice parameters (Å, degrees): 6.200 6.200 5.015 90.00 90.00 90.00
Space group P4/mbm (No. 127)
Symmetry-distinct sites (fractional):
Na1 0.169 0.331 0.000 (multiplicity 4)
Si1 0.000 0.000 0.500 (multiplicity 2)
Pt1 0.152 0.652 0.500 (multiplicity 4)

E_form (uncorrected): -0.454 eV per atom
DOS(E_F): 1.9 states/eV/f.u.

---

Record 18
Density functional theory data (PBE) for a relaxed structure of NaSi2Pt3.

Lattice parameters (Å, degrees): 15.956 3.968 9.938 90.00 106.74 90.00
Space group C2/m (No. 12)
Symmetry-distinct sites (fractional):
Na1 0.000 0.000 0.000 (multiplicity 2)
Na2 0.162 0.000 0.702 (multiplicity 4)
Si1 0.041 0.500 0.786 (multiplicity 4)
Si2 0.138 0.500 0.448 (multiplicity 4)
Si3 0.193 0.000 0.126 (multiplicity 4)
Pt1 0.000 0.500 0.500 (multiplicity 2)
Pt2 0.031 0.000 0.321 (multiplicity 4)
Pt3 0.121 0.500 0.200 (multiplicity 4)
Pt4 0.178 0.500 0.958 (multiplicity 4)
Pt5 0.219 0.000 0.395 (multiplicity 4)

E_form (uncorrected): -0.651 eV per atom
DOS(E_F): 2.2 states/eV/f.u.

---

Record 19
Density functional theory data (PBE) for a relaxed structure of NaSiPt2.

Lattice parameters (Å, degrees): 3.926 3.926 9.099 90.00 90.00 90.00
Space group P4/nmm (No. 129, origin choice 2)
Symmetry-distinct sites (fractional):
Na1 0.250 0.250 0.219 (multiplicity 2)
Si1 0.250 0.250 0.666 (multiplicity 2)
Pt1 0.250 0.250 0.914 (multiplicity 2)
Pt2 0.250 0.750 0.500 (multiplicity 2)

E_form (uncorrected): -0.410 eV per atom
DOS(E_F): 1.5 states/eV/f.u.

---

Record 20
Density functional theory data (PBE) for a relaxed structure of NaSi4Pt2.

Lattice parameters (Å, degrees): 16.349 4.163 6.587 90.00 90.00 90.00
Space group Pnma (No. 62)
Symmetry-distinct sites (fractional):
Na1 0.144 0.250 0.023 (multiplicity 4)
Si1 0.039 0.750 0.870 (multiplicity 4)
Si2 0.063 0.250 0.455 (multiplicity 4)
Si3 0.184 0.750 0.325 (multiplicity 4)
Si4 0.188 0.750 0.739 (multiplicity 4)
Pt1 0.031 0.750 0.252 (multiplicity 4)
Pt2 0.212 0.250 0.535 (multiplicity 4)

E_form (uncorrected): -0.421 eV per atom
DOS(E_F): 1.5 states/eV/f.u.